[1]
AlPbSe2 | the Alexandria database | GGA-PBE | optimized geometry; VASP energy = -3.655 eV per atom; formation energy without anion corrections = -0.20 eV per formula unit; volume = 104.9 Å³ per cell; SG = I-4m2 (119)
1.0
6.964 0.118 0.000
4.502 5.315 0.000
-5.733 -2.716 2.875
Pb Al Se
1 1 2
Direct
0.750 0.250 0.500
0.500 0.500 0.000
0.000 0.000 0.000
0.250 0.750 0.500

=====

[2]
Mg2NiI | the Alexandria database | GGA-PBE | optimized geometry; offset from the most stable computed form = 0.0000 eV/atom; VASP energy = -2.439 eV per atom; formation energy without anion corrections = 0.77 eV per formula unit; volume = 234.6 Å³ per cell; SG = I-42d (122)
1.0
-0.874 2.071 5.116
-5.232 1.339 -1.436
-5.417 -5.038 4.166
I Ni Mg
2 2 4
Direct
0.000 0.000 0.000
0.750 0.250 0.500
0.500 0.500 0.000
0.250 0.750 0.500
0.532 0.125 0.250
0.218 0.625 0.250
0.375 0.468 0.750
0.875 0.782 0.750

=====

[3]
SrAcLaEr | the Alexandria database | GGA-PBE | optimized geometry; calculated formation energy = 0.171 eV/atom; VASP energy = -3.649 eV per atom; volume = 161.7 Å³ per cell; SG = F-43m (216)
1.0
6.115 0.000 0.000
3.057 5.295 0.000
3.057 1.765 4.993
Sr Ac La Er
1 1 1 1
Direct
0.250 0.250 0.250
0.500 0.500 0.500
0.000 0.000 0.000
0.750 0.750 0.750

=====

[4]
AgTe2O | the Alexandria database | GGA-PBE | optimized geometry; offset from the most stable computed form = 0.0000 eV/atom; VASP energy = -3.476 eV per atom; formation energy without anion corrections = 0.19 eV per formula unit; volume = 200.0 Å³ per cell; SG = I-42d (122)
1.0
-0.180 -2.062 4.995
5.281 -1.126 -0.275
4.000 4.567 4.955
Te O Ag
4 2 2
Direct
0.524 0.125 0.250
0.226 0.625 0.250
0.375 0.476 0.750
0.875 0.774 0.750
0.500 0.500 0.000
0.250 0.750 0.500
0.000 0.000 0.000
0.750 0.250 0.500

=====

[5]
La9TbEr4 | the Alexandria database | GGA-PBE | optimized geometry; calculated formation energy = 0.143 eV/atom; VASP energy = -4.659 eV per atom; volume = 1002.6 Å³ per cell; SG = P6_3/mmc (194)
1.0
-5.065 10.186 -1.579
-8.922 -4.548 -0.719
3.367 3.062 8.949
La Tb Er
18 2 8
Direct
0.029 0.793 0.586
0.029 0.793 0.207
0.029 0.414 0.207
0.971 0.207 0.414
0.971 0.207 0.793
0.971 0.586 0.793
0.529 0.207 0.414
0.529 0.207 0.793
0.529 0.586 0.793
0.471 0.793 0.586
0.471 0.793 0.207
0.471 0.414 0.207
0.250 0.461 0.922
0.250 0.461 0.539
0.250 0.078 0.539
0.750 0.539 0.078
0.750 0.539 0.461
0.750 0.922 0.461
0.250 0.667 0.333
0.750 0.333 0.667
0.250 0.109 0.218
0.250 0.109 0.891
0.250 0.782 0.891
0.750 0.891 0.782
0.750 0.891 0.109
0.750 0.218 0.109
0.000 0.000 0.000
0.500 0.000 0.000

=====

[6]
CdCoRh2 | the Alexandria database | GGA-PBE | optimized geometry; offset from the most stable computed form = 0.1356 eV/atom; calculated formation energy = 0.164 eV/atom; VASP energy = -5.517 eV per atom; volume = 60.3 Å³ per cell; SG = P2/m (10)
1.0
4.200 0.000 0.000
0.000 2.770 0.022
0.000 1.408 5.192
Cd Co Rh
1 1 2
Direct
0.500 0.250 0.250
0.500 0.750 0.750
0.000 0.905 0.977
0.000 0.595 0.523

=====

[7]
KFe2Br8 | the Alexandria database | GGA-PBE | optimized geometry; VASP energy = -3.511 eV per atom; formation energy without anion corrections = -7.21 eV per formula unit; volume = 484.9 Å³ per cell; SG = C2/m (12)
1.0
-6.821 8.992 2.621
2.279 -3.611 -7.289
-5.087 -4.390 1.820
K Fe Br
1 2 8
Direct
0.000 0.000 0.000
0.233 0.466 0.657
0.767 0.534 0.343
0.691 0.711 0.257
0.980 0.289 0.743
0.248 0.497 0.331
0.752 0.503 0.669
0.020 0.711 0.257
0.309 0.289 0.743
0.421 0.841 0.814
0.579 0.159 0.186

=====

[8]
CaGdTmAl | the Alexandria database | GGA-PBE | optimized geometry; calculated formation energy = -0.043 eV/atom; VASP energy = -6.117 eV per atom; volume = 109.6 Å³ per cell; SG = F-43m (216)
1.0
5.371 0.000 0.000
2.686 4.652 0.000
2.686 1.551 4.386
Gd Ca Tm Al
1 1 1 1
Direct
0.500 0.500 0.500
0.250 0.250 0.250
0.000 0.000 0.000
0.750 0.750 0.750